Entry 1:
A plane-wave DFT calculation with GGA-PBE was carried out for a geometry-optimized EuAsH structure.

a b c (Å): 4.5742 6.2131 8.4040
angles (deg): 90.00 90.00 90.00
Site moments in Bohr magnetons follow the coordinates.
Fractional coordinates of all 12 atoms:
H  0.2500  0.3909  0.0288  0.00
H  0.7500  0.6091  0.9712  0.00
H  0.2500  0.1091  0.5288  0.00
H  0.7500  0.8909  0.4712  0.00
Eu  0.2500  0.7404  0.3810  6.78
Eu  0.7500  0.2404  0.1190  6.78
Eu  0.2500  0.7596  0.8810  6.78
Eu  0.7500  0.2596  0.6190  6.78
As  0.7500  0.7542  0.6343  -0.04
As  0.2500  0.2458  0.3657  -0.04
As  0.2500  0.2542  0.8657  -0.04
As  0.7500  0.7458  0.1343  -0.04

Summary:
Distance to the lowest polymorph of the same formula   0 meV/atom
Density   6.3 Mg/m³
Space group   No. 62

***

Entry 2:
A plane-wave DFT calculation with GGA-PBE was carried out for a geometry-optimized Li2SmAg structure.

a b c (Å): 4.8837 4.8837 4.8837
angles (deg): 60.00 60.00 60.00
Fractional coordinates of all 4 atoms:
Li  0.7500  0.7500  0.7500
Li  0.2500  0.2500  0.2500
Ag  0.5000  0.5000  0.5000
Sm  0.0000  0.0000  0.0000

Summary:
Distance to the lowest polymorph of the same formula   122 meV/atom
Energy of formation   3 kJ per mole of atoms
Density   5.5 Mg/m³
Space group   No. 225

***

Entry 3:
A plane-wave DFT calculation with GGA-PBE was carried out for a geometry-optimized Mg5AlZn structure.

a b c (Å): 6.5925 6.5925 8.3430
angles (deg): 70.94 70.94 97.30
Fractional coordinates of all 14 atoms:
Mg  0.4046  0.7945  0.3786
Mg  0.8499  0.6819  0.3964
Mg  0.3181  0.1501  0.1036
Mg  0.5954  0.2055  0.6214
Mg  0.7945  0.4046  0.8786
Mg  0.1759  0.8241  0.7500
Mg  0.1501  0.3181  0.6036
Mg  0.2055  0.5954  0.1214
Mg  0.8241  0.1759  0.2500
Mg  0.6819  0.8499  0.8964
Zn  0.0000  0.0000  0.5000
Zn  0.0000  0.0000  0.0000
Al  0.5462  0.4538  0.2500
Al  0.4538  0.5462  0.7500

Summary:
Energy of formation   13 kJ per mole of atoms
Density   2.3 Mg/m³
Space group   No. 15

***

Entry 4:
A plane-wave DFT calculation with GGA-PBE was carried out for a geometry-optimized CaSiAu3 structure.

a b c (Å): 4.8383 6.8119 6.8140
angles (deg): 90.00 90.00 90.00
Fractional coordinates of all 10 atoms:
Au  0.0000  0.2013  0.2013
Au  0.0000  0.2987  0.7013
Au  0.5000  0.0000  0.5000
Au  0.5000  0.5000  0.0000
Au  0.0000  0.7987  0.7987
Au  0.0000  0.7013  0.2987
Si  0.0000  0.0000  0.5000
Si  0.0000  0.5000  0.0000
Ca  0.5000  0.0000  0.0000
Ca  0.5000  0.5000  0.5000

Summary:
Distance to the lowest polymorph of the same formula   132 meV/atom
Formation energy without anion corrections   -0.376 eV/atom
Density   9.7 Mg/m³
Space group   No. 127

***

Entry 5:
A plane-wave DFT calculation with GGA-PBE was carried out for a geometry-optimized Er6Si3Ge structure.

a b c (Å): 6.1001 7.9451 10.4565
angles (deg): 90.00 89.91 90.00
Fractional coordinates of all 20 atoms:
Si  0.9147  0.3886  0.7494
Si  0.0853  0.6114  0.2506
Si  0.5853  0.8886  0.7506
Si  0.4147  0.1114  0.2494
Si  0.5000  0.5000  0.0000
Si  0.0000  0.0000  0.5000
Er  0.8626  0.9474  0.2515
Er  0.1340  0.3199  0.4239
Er  0.1374  0.0526  0.7485
Er  0.6340  0.1801  0.9239
Er  0.6374  0.4474  0.2485
Er  0.3626  0.5526  0.7515
Er  0.6359  0.1767  0.5758
Er  0.3660  0.8199  0.0761
Er  0.8660  0.6801  0.5761
Er  0.1359  0.3233  0.0758
Er  0.3641  0.8233  0.4242
Er  0.8641  0.6767  0.9242
Ge  0.0000  0.0000  0.0000
Ge  0.5000  0.5000  0.5000

Summary:
Formation energy without anion corrections   -0.543 eV/atom
Density   7.6 Mg/m³
Space group   No. 14

***

Entry 6:
A plane-wave DFT calculation with GGA-PBE was carried out for a geometry-optimized CeNd2ReN5 structure.

a b c (Å): 6.8145 6.8145 7.5166
angles (deg): 116.96 116.96 90.00
Site moments in Bohr magnetons follow the coordinates.
Fractional coordinates of all 18 atoms:
Re  0.7500  0.2500  0.5000  0.07
Re  0.2500  0.7500  0.5000  0.07
N  0.7983  0.9998  0.2982  0.00
N  0.0002  0.5002  0.7018  0.00
N  0.5002  0.7017  0.7018  0.00
N  0.9998  0.4998  0.2982  0.00
N  0.2983  0.7983  0.2982  0.00
N  0.0000  0.0000  0.0000  -0.02
N  0.5000  0.5000  0.0000  -0.02
N  0.4998  0.2983  0.2982  0.00
N  0.7017  0.2017  0.7018  0.00
N  0.2017  0.0002  0.7018  0.00
Ce  0.7500  0.7500  0.5000  0.85
Ce  0.2500  0.2500  0.5000  0.85
Nd  0.8269  0.6731  0.0000  0.01
Nd  0.1731  0.3269  0.0000  0.01
Nd  0.6731  0.1731  0.0000  0.01
Nd  0.3269  0.8269  0.0000  0.01

Summary:
Formation energy without anion corrections   -0.995 eV/atom
Density   8.5 Mg/m³
Space group   No. 140

***

Entry 7:
A plane-wave DFT calculation with GGA-PBE was carried out for a geometry-optimized Be2TeRh structure.

a b c (Å): 5.0374 5.0374 3.3619
angles (deg): 68.97 68.97 111.82
Fractional coordinates of all 4 atoms:
Be  0.5000  0.5000  0.0000
Be  0.0000  0.0000  0.0000
Rh  0.5000  0.0000  0.5000
Te  0.0000  0.5000  0.5000

Summary:
Formation energy without anion corrections   0.273 eV/atom
Density   6.8 Mg/m³
Space group   No. 12

***

Entry 8:
A plane-wave DFT calculation with GGA-PBE was carried out for a geometry-optimized ZrSc2In6 structure.

a b c (Å): 5.9291 8.6169 8.6169
angles (deg): 75.77 90.38 90.38
Fractional coordinates of all 18 atoms:
Sc  0.0826  0.2061  0.4607
Sc  0.5826  0.4607  0.2061
Sc  0.4174  0.5393  0.7939
Sc  0.9174  0.7939  0.5393
In  0.3609  0.9070  0.6483
In  0.1997  0.9810  0.2398
In  0.6997  0.2398  0.9810
In  0.6391  0.0930  0.3517
In  0.9741  0.4256  0.6842
In  0.5259  0.3158  0.5744
In  0.0259  0.5744  0.3158
In  0.4741  0.6842  0.4256
In  0.8609  0.6483  0.9070
In  0.1391  0.3517  0.0930
In  0.8003  0.0190  0.7602
In  0.3003  0.7602  0.0190
Zr  0.7500  0.8732  0.1268
Zr  0.2500  0.1268  0.8732

Summary:
Energy of formation   -17 kJ per mole of atoms
Density   6.8 Mg/m³
Space group   No. 15

***

> Number 7 is which compound?

Be2TeRh

***

> Which of these has the lowest density?

Mg5AlZn